# PBE ScHg2Os, optimized geometry
# Crystal system: tetragonal
# Formation energy: 1.62 eV/f.u.
# Excess energy over the best structure of this formula in the dataset: 315 meV per atom
data_ScHg2Os
_space_group_name_H-M_alt 'I -4 2 d'
_space_group_IT_number 122
_space_group_name_Hall 'I -4 2bw'
_cell_length_a 4.028
_cell_length_b 4.028
_cell_length_c 20.509
_cell_angle_alpha 90.00
_cell_angle_beta 90.00
_cell_angle_gamma 90.00
loop_
_atom_site_label
_atom_site_type_symbol
_atom_site_fract_x
_atom_site_fract_y
_atom_site_fract_z
Sc1 Sc 0.000 0.000 0.000
Hg1 Hg 0.236 0.250 0.625
Os1 Os 0.000 0.000 0.500

***

# PBE PmPaSb2N, optimized geometry
# Raw formation energy: -1002 meV per atom
# Crystal system: tetragonal
data_PmPaSb2N
_space_group_name_H-M_alt 'P 4/n m m'
_space_group_IT_number 129
_cell_length_a 4.010
_cell_length_b 4.010
_cell_length_c 16.797
_cell_angle_alpha 90.00
_cell_angle_beta 90.00
_cell_angle_gamma 90.00
loop_
_space_group_symop_operation_xyz
'x,y,z'
'-x,-y,-z'
'-y+1/2,x,z'
'y+1/2,-x,-z'
'-x+1/2,-y+1/2,z'
'x+1/2,y+1/2,-z'
'y,-x+1/2,z'
'-y,x+1/2,-z'
'x+1/2,-y,-z'
'-x+1/2,y,z'
'-y,-x,-z'
'y,x,z'
'-x,y+1/2,-z'
'x,-y+1/2,z'
'y+1/2,x+1/2,-z'
'-y+1/2,-x+1/2,z'
loop_
_atom_site_label
_atom_site_type_symbol
_atom_site_fract_x
_atom_site_fract_y
_atom_site_fract_z
Pm1 Pm 0.250 0.250 0.139
Pa1 Pa 0.250 0.250 0.568
Sb1 Sb 0.250 0.250 0.327
Sb2 Sb 0.250 0.250 0.939
N1 N 0.250 0.750 0.500

***

# PBE LaGaPO2, optimized geometry
# Raw formation energy: -835 meV per atom
# Crystal system: tetragonal
# Excess energy over the best structure of this formula in the dataset: 483 meV per atom
data_LaGaPO2
_space_group_name_H-M_alt 'P 4/m m m'
_space_group_IT_number 123
_space_group_name_Hall '-P 4 2'
_cell_length_a 4.232
_cell_length_b 4.232
_cell_length_c 6.454
_cell_angle_alpha 90.00
_cell_angle_beta 90.00
_cell_angle_gamma 90.00
loop_
_atom_site_label
_atom_site_type_symbol
_atom_site_fract_x
_atom_site_fract_y
_atom_site_fract_z
La1 La 0.000 0.000 0.000
Ga1 Ga 0.500 0.500 0.500
P1 P 0.000 0.000 0.500
O1 O 0.000 0.500 0.000

***

# PBE Ac2TbGa, optimized geometry
# Crystal system: trigonal
# Formation energy: 0.93 eV/f.u.
# Excess energy over the best structure of this formula in the dataset: 398 meV per atom
data_Ac2TbGa
_space_group_name_H-M_alt 'R -3 m'
_space_group_IT_number 166
_space_group_name_Hall '-R 3 2"'
_cell_length_a 3.7839
_cell_length_b 3.7839
_cell_length_c 37.4802
_cell_angle_alpha 90.00
_cell_angle_beta 90.00
_cell_angle_gamma 120.00
loop_
_atom_site_label
_atom_site_type_symbol
_atom_site_fract_x
_atom_site_fract_y
_atom_site_fract_z
Ac1 Ac 0.0000 0.0000 0.0867
Tb1 Tb 0.0000 0.0000 0.5000
Ga1 Ga 0.0000 0.0000 0.0000

***

no.,volume (Å³/f.u.),N(E_F) (states/eV/f.u.)
1,83.2,2.50
2,135.0,2.73
3,115.6,3.30
4,154.9,4.45